1.
A relaxed CaSbSe2 crystal. Source: Alexandria, functional PBE.

Properties
- N(E_F): 0.350 states/eV per atom
- Formation energy without anion corrections: -2.93 eV per formula unit

Lattice parameters (Å, degrees): 5.947 5.947 8.898 70.48 70.48 90.00
Fractional positions:
Sb (0.000, 0.000, 0.000)
Sb (0.750, 0.250, 0.500)
Ca (0.500, 0.500, 0.000)
Ca (0.250, 0.750, 0.500)
Se (0.637, 0.125, 0.250)
Se (0.113, 0.625, 0.250)
Se (0.375, 0.363, 0.750)
Se (0.875, 0.887, 0.750)

2.
A relaxed CaSbSe2 crystal. Source: Alexandria, functional PBE.

Properties
- N(E_F): 0.329 states/eV per atom
- Formation energy without anion corrections: -3.09 eV per formula unit

Lattice parameters (Å, degrees): 5.483 5.483 5.483 134.14 110.79 87.06
Fractional positions:
Sb (0.250, 0.750, 0.500)
Ca (0.750, 0.250, 0.500)
Se (0.013, 0.013, 0.000)
Se (0.487, 0.487, 0.000)

3.
A relaxed CaSbSe2 crystal. Source: Alexandria, functional PBE.

Properties
- N(E_F): 0.241 states/eV per atom
- Formation energy without anion corrections: -3.64 eV per formula unit

Lattice parameters (Å, degrees): 3.806 3.775 7.491 90.15 90.00 90.00
Fractional positions:
Sb (0.500, 0.750, 0.750)
Ca (0.500, 0.250, 0.250)
Se (0.000, 0.750, 0.035)
Se (0.000, 0.750, 0.465)

4.
A relaxed CaSbSe2 crystal. Source: Alexandria, functional PBE.

Properties
- N(E_F): 0.407 states/eV per atom
- Formation energy without anion corrections: -4.06 eV per formula unit

Lattice parameters (Å, degrees): 4.142 4.323 7.413 54.21 90.00 90.00
Fractional positions:
Sb (0.500, 0.625, 0.875)
Ca (0.000, 0.625, 0.375)
Se (0.000, 0.125, 0.875)
Se (0.500, 0.125, 0.375)

5.
A relaxed CaSbSe2 crystal. Source: Alexandria, functional PBE.

Properties
- N(E_F): 0.526 states/eV per atom
- Formation energy without anion corrections: -3.08 eV per formula unit

Lattice parameters (Å, degrees): 4.397 4.397 7.199 72.22 72.22 60.00
Fractional positions:
Ca (0.500, 0.500, 0.499)
Sb (0.669, 0.669, 0.992)
Se (0.076, 0.076, 0.773)
Se (0.254, 0.254, 0.237)

6.
A relaxed Ca2SbSe crystal. Source: Alexandria, functional PBE.

Properties
- Relative energy among the computed polymorphs: 0 meV per atom
- N(E_F): 0.209 states/eV per atom
- Formation energy without anion corrections: -5.51 eV per formula unit

Lattice parameters (Å, degrees): 4.126 4.126 8.183 75.03 75.03 61.21
Fractional positions:
Sb (0.750, 0.750, 0.750)
Ca (0.992, 0.992, 0.028)
Ca (0.508, 0.508, 0.472)
Se (0.250, 0.250, 0.250)

Which of these has the lowest formation energy without anion corrections?
Ca2SbSe

Among the records above, which one has the highest N(E_F)?
number 5